Density functional theory data (GGA-PBE) for an optimized crystal structure of HfTlFeCo2.

abc: 4.363 4.363 4.792
angles: 90.00 90.00 90.00
Fractional coordinates of all 5 atoms:
Hf1 0.000 0.000 0.000
Tl1 0.500 0.500 0.000
Fe1 0.500 0.500 0.500
Co1 0.000 0.500 0.500
Co2 0.500 0.000 0.500

Computed properties:
Crystal system ... tetragonal
ΔE_f ... 0.9042 eV/atom



Density functional theory data (GGA-PBE) for an optimized crystal structure of Hf2ZnFeCo.

abc: 4.852 4.852 4.108
angles: 90.00 90.00 90.00
Fractional coordinates of all 5 atoms:
Hf1 0.000 0.500 0.000
Hf2 0.500 0.000 0.000
Zn1 0.000 0.000 0.000
Fe1 0.500 0.500 0.500
Co1 0.000 0.000 0.500

Computed properties:
Crystal system ... tetragonal
ΔE_f ... 1.1622 eV/atom



Density functional theory data (GGA-PBE) for an optimized crystal structure of Hf2ZnFe2Co5.

abc: 8.537 8.537 3.666
angles: 90.00 90.00 90.00
Fractional coordinates of all 20 atoms:
Hf1 0.180 0.320 0.000
Hf2 0.320 0.820 0.000
Hf3 0.680 0.180 0.000
Hf4 0.820 0.680 0.000
Zn1 0.000 0.000 0.000
Zn2 0.500 0.500 0.000
Fe1 0.118 0.618 0.000
Fe2 0.382 0.118 0.000
Fe3 0.618 0.882 0.000
Fe4 0.882 0.382 0.000
Co1 0.000 0.500 0.500
Co2 0.061 0.793 0.500
Co3 0.207 0.061 0.500
Co4 0.293 0.561 0.500
Co5 0.439 0.293 0.500
Co6 0.500 0.000 0.500
Co7 0.561 0.707 0.500
Co8 0.707 0.439 0.500
Co9 0.793 0.939 0.500
Co10 0.939 0.207 0.500

Computed properties:
Crystal system ... tetragonal
ΔE_f ... -0.1022 eV/atom



Density functional theory data (GGA-PBE) for an optimized crystal structure of HfZnFeCo.

abc: 4.254 4.254 4.254
angles: 60.00 60.00 60.00
Fractional coordinates of all 4 atoms:
Hf1 0.000 0.000 0.000
Zn1 0.500 0.500 0.500
Fe1 0.250 0.250 0.250
Co1 0.750 0.750 0.750

Computed properties:
Crystal system ... cubic
ΔE_f ... -0.1538 eV/atom



Density functional theory data (GGA-PBE) for an optimized crystal structure of HfZr2FeCo.

abc: 4.729 4.729 4.703
angles: 90.00 90.00 90.00
Fractional coordinates of all 5 atoms:
Hf1 0.000 0.000 0.000
Zr1 0.000 0.500 0.500
Zr2 0.500 0.000 0.500
Fe1 0.000 0.000 0.500
Co1 0.500 0.500 0.000

Computed properties:
Crystal system ... tetragonal
ΔE_f ... 0.5834 eV/atom



Density functional theory data (GGA-PBE) for an optimized crystal structure of FeCoHg2.

abc: 4.144 4.144 3.836
angles: 90.00 90.00 90.00
Fractional coordinates of all 4 atoms:
Fe1 0.000 0.000 0.000
Co1 0.500 0.500 0.000
Hg1 0.000 0.500 0.500
Hg2 0.500 0.000 0.500

Computed properties:
Crystal system ... tetragonal
ΔE_f ... 0.5172 eV/atom



Density functional theory data (GGA-PBE) for an optimized crystal structure of FeCo2Hg.

abc: 2.906 2.906 6.580
angles: 90.00 90.00 90.00
Fractional coordinates of all 4 atoms:
Fe1 0.000 0.000 0.000
Co1 0.000 0.000 0.602
Co2 0.500 0.500 0.788
Hg1 0.500 0.500 0.306

Computed properties:
Crystal system ... tetragonal
ΔE_f ... 0.2831 eV/atom



Density functional theory data (GGA-PBE) for an optimized crystal structure of FeCoHg2.

abc: 4.505 4.505 4.505
angles: 60.00 60.00 60.00
Fractional coordinates of all 4 atoms:
Fe1 0.000 0.000 0.000
Co1 0.500 0.500 0.500
Hg1 0.250 0.250 0.250
Hg2 0.750 0.750 0.750

Computed properties:
Crystal system ... cubic
ΔE_f ... 0.5107 eV/atom



| no. | density (Mg/m³) | magnetic moment (μB per cell) |
| --- | --- | --- |
| 1 | 10.13 | 5.67 |
| 2 | 9.22 | 0.66 |
| 3 | 10.30 | 17.46 |
| 4 | 10.94 | 0.86 |
| 5 | 7.51 | 0.00 |
| 6 | 13.01 | 4.43 |
| 7 | 11.18 | 6.10 |
| 8 | 13.25 | 3.84 |